[1]
# PBE-GGA HoThRhSe, relaxed
# DFT total energy: -6.9294 eV per atom
# ΔE_f (raw): -4.88 eV/f.u.
# N(E_F): 2.6 states/eV per cell
data_HoThRhSe
_cell_length_a 4.0314
_cell_length_b 4.0314
_cell_length_c 21.9640
_cell_angle_alpha 90.00
_cell_angle_beta 90.00
_cell_angle_gamma 120.00
_symmetry_space_group_name_H-M 'R 3 m'
_symmetry_Int_Tables_number 160
_symmetry_space_group_name_Hall 'R 3 -2"'
loop_
_atom_site_label
_atom_site_fract_x
_atom_site_fract_y
_atom_site_fract_z
_atom_site_occupancy
Ho1 0.0000 0.0000 0.0000 1
Th1 0.0000 0.0000 0.1889 1
Rh1 0.0000 0.0000 0.5920 1
Se1 0.0000 0.0000 0.7580 1


[2]
# PBE-GGA HoSi3Rh, relaxed
# DFT total energy: -6.2720 eV per atom
# ΔE_f (raw): -3.16 eV/f.u.
# N(E_F): 4.2 states/eV per cell
data_HoSi3Rh
_cell_length_a 5.266
_cell_length_b 5.631
_cell_length_c 5.625
_cell_angle_alpha 90.00
_cell_angle_beta 90.05
_cell_angle_gamma 90.00
_symmetry_space_group_name_H-M 'P 1 21/m 1'
_symmetry_Int_Tables_number 11
loop_
_symmetry_equiv_pos_as_xyz
'x,y,z'
'-x,-y,-z'
'-x,y+1/2,-z'
'x,-y+1/2,z'
loop_
_atom_site_label
_atom_site_fract_x
_atom_site_fract_y
_atom_site_fract_z
_atom_site_occupancy
Ho1 0.126 0.250 0.271 1
Si1 0.061 0.750 0.195 1
Si2 0.361 0.024 0.819 1
Rh1 0.383 0.750 0.489 1


[3]
# PBE-GGA Ho3Si4Rh2, relaxed
# DFT total energy: -6.5205 eV per atom
# ΔE_f (raw): -8.56 eV/f.u.
# N(E_F): 8.7 states/eV per cell
data_Ho3Si4Rh2
_cell_length_a 10.614
_cell_length_b 4.137
_cell_length_c 8.002
_cell_angle_alpha 90.00
_cell_angle_beta 108.18
_cell_angle_gamma 90.00
_symmetry_space_group_name_H-M 'C 1 2/m 1'
_symmetry_Int_Tables_number 12
loop_
_symmetry_equiv_pos_as_xyz
'x,y,z'
'-x,-y,-z'
'-x,y,-z'
'x,-y,z'
'x+1/2,y+1/2,z'
'-x+1/2,-y+1/2,-z'
'-x+1/2,y+1/2,-z'
'x+1/2,-y+1/2,z'
loop_
_atom_site_label
_atom_site_fract_x
_atom_site_fract_y
_atom_site_fract_z
_atom_site_occupancy
Ho1 0.000 0.000 0.000 1
Ho2 0.120 0.500 0.697 1
Si1 0.092 0.000 0.407 1
Si2 0.219 0.500 0.073 1
Rh1 0.188 0.500 0.362 1


[4]
# PBE-GGA Ho3SiRh2, relaxed
# DFT total energy: -6.4678 eV per atom
# ΔE_f (raw): -4.95 eV/f.u.
# N(E_F): 14.2 states/eV per cell
data_Ho3SiRh2
_cell_length_a 11.509
_cell_length_b 3.855
_cell_length_c 11.930
_cell_angle_alpha 90.00
_cell_angle_beta 90.00
_cell_angle_gamma 90.00
_symmetry_space_group_name_H-M 'P n m a'
_symmetry_Int_Tables_number 62
loop_
_symmetry_equiv_pos_as_xyz
'x,y,z'
'-x,-y,-z'
'-x+1/2,-y,z+1/2'
'x+1/2,y,-z+1/2'
'x+1/2,-y+1/2,-z+1/2'
'-x+1/2,y+1/2,z+1/2'
'-x,y+1/2,-z'
'x,-y+1/2,z'
loop_
_atom_site_label
_atom_site_fract_x
_atom_site_fract_y
_atom_site_fract_z
_atom_site_occupancy
Ho1 0.058 0.250 0.118 1
Ho2 0.128 0.750 0.556 1
Ho3 0.200 0.250 0.808 1
Si1 0.121 0.250 0.361 1
Rh1 0.014 0.750 0.309 1
Rh2 0.195 0.750 0.982 1